Density functional theory data (PBE with a Hubbard U) for Mn3HO6 after structural relaxation.

```
Mn3HO6
1.0
7.092 -1.499 0.000
7.092 1.499 0.000
-0.181 0.000 4.619
Mn H O
3 1 6
Cartesian
0.000 0.000 0.000
4.353 0.000 0.206
9.169 0.000 2.396
12.455 0.000 2.164
1.151 0.000 3.254
3.009 0.000 1.555
5.867 0.000 3.790
7.824 0.000 0.957
10.572 0.000 3.835
12.427 0.000 1.178
```

Values from the calculation:
The offset from the most stable computed form comes out at 0 meV/atom. The electronic total energy is -6.89 eV per atom. Its size of the total moment is 1.0000 μB per atom. The crystal system is monoclinic.